# 1
A geometry-optimized CrHgOs2 structure. Source: Alexandria, functional GGA-PBE.

Cell: 5.5024 5.5024 5.5024 Å, 150.52 130.42 58.74°
Element x y z (fractional)
Cr (0.7500, 0.2500, 0.5000)
Os (0.5332, 0.5332, 0.0000)
Os (0.9668, 0.9668, 0.0000)
Hg (0.2500, 0.7500, 0.5000)

Computed properties:
SG = Immm (71)
Total energy = -30.04 eV for the cell shown
Formation energy = 0.5857 eV/atom

# 2
A geometry-optimized CrHgOs2 structure. Source: Alexandria, functional GGA-PBE.

Cell: 5.2740 5.2740 5.2740 Å, 146.93 128.34 62.72°
Element x y z (fractional)
Hg (0.2654, 0.7654, 0.5000)
Os (0.9809, 0.9809, 0.0000)
Os (0.7275, 0.2275, 0.5000)
Cr (0.5263, 0.5263, 0.0000)

Computed properties:
SG = Imm2 (44)
Total energy = -29.08 eV for the cell shown
Formation energy = 0.8254 eV/atom

# 3
A geometry-optimized CrHgOs2 structure. Source: Alexandria, functional GGA-PBE.

Cell: 2.7707 3.5968 6.2934 Å, 90.00 90.00 90.00°
Element x y z (fractional)
Hg (0.5000, 0.5000, 0.7500)
Os (0.0000, 0.0000, 0.0497)
Os (0.0000, 0.0000, 0.4503)
Cr (0.5000, 0.5000, 0.2500)

Computed properties:
SG = Pmmm (47)
Total energy = -30.03 eV for the cell shown
Formation energy = 0.5898 eV/atom

Going through the records in order, we get magnetic moment values of 0.94 0.00 0.48 μB per formula unit.